Entry 1:
The following is a PBEsol calculation of crystalline KAgHg2 at its relaxed geometry, from Alexandria via LeMat-Bulk.

```
KAgHg2
1.0
4.8058 0.0000 0.0000
-2.4029 4.1718 -0.0076
0.0000 -2.7647 5.7739
K Hg Ag
1 2 1
Direct
0.5081 0.0162 0.5223
0.9678 0.9357 0.9036
0.7092 0.4184 0.1285
0.3149 0.6298 0.9456
```

- total moment (μB/atom) = 0.000
- theoretical density (Mg/m³) = 7.9
- total energy (hartree per atom) = -0.05476
- polymorph energy (0 for the lowest one) (kJ per mole of atoms) = 1.1
- energy of formation from the pure elements (eV/atom) = -0.096

Entry 2:
The following is a PBEsol calculation of crystalline KAg2Hg at its relaxed geometry, from Alexandria via LeMat-Bulk.

```
KAg2Hg
1.0
4.9619 0.0000 0.0000
-2.4810 4.3929 -0.1907
0.0000 -2.6193 4.2142
Ag Hg K
2 1 1
Direct
0.7500 0.5000 0.2500
0.2500 0.5000 0.7500
0.5000 0.0000 0.5000
0.0000 0.0000 0.0000
```

- total moment (μB/atom) = 0.000
- theoretical density (Mg/m³) = 8.5
- total energy (hartree per atom) = -0.06946
- polymorph energy (0 for the lowest one) (kJ per mole of atoms) = 19.4
- energy of formation from the pure elements (eV/atom) = 0.190

Entry 3:
The following is a PBEsol calculation of crystalline La2AgHg2 at its relaxed geometry, from Alexandria via LeMat-Bulk.

```
La2AgHg2
1.0
-4.5597 -0.4239 0.6609
0.9079 -7.3580 1.5438
0.9096 1.6511 7.3345
Hg Ag La
4 2 4
Direct
0.0000 0.3588 0.8588
0.0000 0.8588 0.6412
0.0000 0.6412 0.1412
0.0000 0.1412 0.3588
0.0000 0.0000 0.0000
0.0000 0.5000 0.5000
0.5000 0.1596 0.6596
0.5000 0.6596 0.8404
0.5000 0.8404 0.3404
0.5000 0.3404 0.1596
```

- total moment (μB/atom) = 0.000
- theoretical density (Mg/m³) = 9.8
- total energy (hartree per atom) = -0.12552
- energy of formation from the pure elements (eV/atom) = -0.388

- Look up the energy of formation from the pure elements of the second one.
  0.190 eV/atom

What did the third record say?
The following is a PBEsol calculation of crystalline La2AgHg2 at its relaxed geometry, from Alexandria via LeMat-Bulk.

```
La2AgHg2
1.0
-4.5597 -0.4239 0.6609
0.9079 -7.3580 1.5438
0.9096 1.6511 7.3345
Hg Ag La
4 2 4
Direct
0.0000 0.3588 0.8588
0.0000 0.8588 0.6412
0.0000 0.6412 0.1412
0.0000 0.1412 0.3588
0.0000 0.0000 0.0000
0.0000 0.5000 0.5000
0.5000 0.1596 0.6596
0.5000 0.6596 0.8404
0.5000 0.8404 0.3404
0.5000 0.3404 0.1596
```

- total moment (μB/atom) = 0.000
- theoretical density (Mg/m³) = 9.8
- total energy (hartree per atom) = -0.12552
- energy of formation from the pure elements (eV/atom) = -0.388